! BaNiAsBr2 (PBEsol, relaxed); values from VASP
! Total magnetization: 0.01 μB per cell
! Formation energy from raw total energies: -0.7738 eV per atom
! DOS(E_F): 0.892 states/eV per atom
&SYSTEM
  ibrav = 0, nat = 5, ntyp = 4
/
ATOMIC_SPECIES
Ba 137.33 Ba.upf
Ni 58.69 Ni.upf
As 74.92 As.upf
Br 79.90 Br.upf
CELL_PARAMETERS angstrom
5.0595 0.0000 0.0000
0.0000 5.0595 0.0000
0.0000 0.0000 4.6878
ATOMIC_POSITIONS angstrom
Ba 0.0000 0.0000 0.0000
Ni 2.5298 2.5298 2.3439
As 2.5298 2.5298 0.0000
Br 0.0000 2.5298 2.3439
Br 2.5298 0.0000 2.3439